[1]
# Pa2NbC | Alexandria via LeMat-Bulk | PBE | relaxed
# - ΔE_f (eV per atom) = 0.211
# - spin magnetization (Bohr magnetons per cell) = 0.0
data_Pa2NbC
_cell_length_a 3.2042
_cell_length_b 3.2042
_cell_length_c 26.5567
_cell_angle_alpha 90.00
_cell_angle_beta 90.00
_cell_angle_gamma 120.00
_space_group_name_H-M_alt 'R -3 m'
_space_group_IT_number 166
_space_group_name_Hall '-R 3 2"'
loop_
_atom_site_label
_atom_site_type_symbol
_atom_site_fract_x
_atom_site_fract_y
_atom_site_fract_z
_atom_site_occupancy
Pa1 Pa 0.0000 0.0000 0.1082 1
Nb1 Nb 0.0000 0.0000 0.0000 1
C1 C 0.0000 0.0000 0.5000 1

---

[2]
# DyScAgIr | Alexandria via LeMat-Bulk | PBE | relaxed
# - ΔE_f (eV per atom) = -0.597
# - spin magnetization (Bohr magnetons per cell) = 0.0
data_DyScAgIr
_cell_length_a 6.8471
_cell_length_b 6.8471
_cell_length_c 6.8471
_cell_angle_alpha 90.00
_cell_angle_beta 90.00
_cell_angle_gamma 90.00
_space_group_name_H-M_alt 'F -4 3 m'
_space_group_IT_number 216
_space_group_name_Hall 'F -4 2 3'
loop_
_atom_site_label
_atom_site_type_symbol
_atom_site_fract_x
_atom_site_fract_y
_atom_site_fract_z
_atom_site_occupancy
Dy1 Dy 0.0000 0.0000 0.0000 1
Sc1 Sc 0.0000 0.0000 0.5000 1
Ag1 Ag 0.2500 0.2500 0.2500 1
Ir1 Ir 0.2500 0.2500 0.7500 1

---

[3]
# Na2NdUS6 | Alexandria via LeMat-Bulk | PBE | relaxed
# - raw formation energy (eV per atom) = -1.20
# - spin magnetization (Bohr magnetons per cell) = 0.0
data_Na2NdUS6
_cell_length_a 6.9690
_cell_length_b 7.4398
_cell_length_c 11.9855
_cell_angle_alpha 90.00
_cell_angle_beta 124.76
_cell_angle_gamma 90.00
_space_group_name_H-M_alt 'P 1 21/c 1'
_space_group_IT_number 14
loop_
_space_group_symop_operation_xyz
'x,y,z'
'-x,-y,-z'
'-x,y+1/2,-z+1/2'
'x,-y+1/2,z+1/2'
loop_
_atom_site_label
_atom_site_type_symbol
_atom_site_fract_x
_atom_site_fract_y
_atom_site_fract_z
_atom_site_occupancy
Na1 Na 0.2172 0.0782 0.2461 1
Nd1 Nd 0.0000 0.0000 0.5000 1
U1 U 0.5000 0.0000 0.0000 1
S1 S 0.1436 0.1916 0.9302 1
S2 S 0.2423 0.7165 0.9227 1
S3 S 0.4030 0.0459 0.7642 1

---

[4]
# GaBIr | Alexandria via LeMat-Bulk | PBE | relaxed
# - ΔE_f (eV per atom) = 0.008
# - spin magnetization (Bohr magnetons per cell) = 0.0
data_GaBIr
_cell_length_a 3.5862
_cell_length_b 3.5862
_cell_length_c 3.6307
_cell_angle_alpha 90.00
_cell_angle_beta 90.00
_cell_angle_gamma 120.00
_space_group_name_H-M_alt 'P -6 m 2'
_space_group_IT_number 187
_space_group_name_Hall 'P -6 2'
loop_
_atom_site_label
_atom_site_type_symbol
_atom_site_fract_x
_atom_site_fract_y
_atom_site_fract_z
_atom_site_occupancy
Ga1 Ga 0.0000 0.0000 0.0000 1
B1 B 0.6667 0.3333 0.5000 1
Ir1 Ir 0.3333 0.6667 0.5000 1

---

[5]
# Co2RuCl | Alexandria via LeMat-Bulk | PBE | relaxed
# - raw formation energy (eV per atom) = 0.69
# - spin magnetization (Bohr magnetons per cell) = 8.5
data_Co2RuCl
_cell_length_a 2.7813
_cell_length_b 4.4091
_cell_length_c 8.6000
_cell_angle_alpha 90.00
_cell_angle_beta 90.00
_cell_angle_gamma 90.00
_space_group_name_H-M_alt 'I m m 2'
_space_group_IT_number 44
loop_
_space_group_symop_operation_xyz
'x,y,z'
'-x,-y,z'
'-x,y,z'
'x,-y,z'
'x+1/2,y+1/2,z+1/2'
'-x+1/2,-y+1/2,z+1/2'
'-x+1/2,y+1/2,z+1/2'
'x+1/2,-y+1/2,z+1/2'
loop_
_atom_site_label
_atom_site_type_symbol
_atom_site_fract_x
_atom_site_fract_y
_atom_site_fract_z
_atom_site_occupancy
Co1 Co 0.0000 0.0000 0.0000 1
Co2 Co 0.0000 0.5000 0.2441 1
Ru1 Ru 0.0000 0.5000 0.7687 1
Cl1 Cl 0.0000 0.0000 0.5066 1

---

[6]
# CaYAlHg | Alexandria via LeMat-Bulk | PBE | relaxed
# - ΔE_f (eV per atom) = -0.402
# - spin magnetization (Bohr magnetons per cell) = 0.0
data_CaYAlHg
_cell_length_a 7.4309
_cell_length_b 7.4309
_cell_length_c 7.4309
_cell_angle_alpha 90.00
_cell_angle_beta 90.00
_cell_angle_gamma 90.00
_space_group_name_H-M_alt 'F -4 3 m'
_space_group_IT_number 216
_space_group_name_Hall 'F -4 2 3'
loop_
_atom_site_label
_atom_site_type_symbol
_atom_site_fract_x
_atom_site_fract_y
_atom_site_fract_z
_atom_site_occupancy
Ca1 Ca 0.0000 0.0000 0.0000 1
Y1 Y 0.0000 0.0000 0.5000 1
Al1 Al 0.2500 0.2500 0.7500 1
Hg1 Hg 0.2500 0.2500 0.2500 1

---

[7]
# ScMn2Te | Alexandria via LeMat-Bulk | PBE | relaxed
# - raw formation energy (eV per atom) = -0.01
# - spin magnetization (Bohr magnetons per cell) = 6.8
data_ScMn2Te
_cell_length_a 3.5910
_cell_length_b 3.5910
_cell_length_c 5.9100
_cell_angle_alpha 90.00
_cell_angle_beta 90.00
_cell_angle_gamma 90.00
_space_group_name_H-M_alt 'P 4 m m'
_space_group_IT_number 99
loop_
_space_group_symop_operation_xyz
'x,y,z'
'-y,x,z'
'-x,-y,z'
'y,-x,z'
'-x,y,z'
'y,x,z'
'x,-y,z'
'-y,-x,z'
loop_
_atom_site_label
_atom_site_type_symbol
_atom_site_fract_x
_atom_site_fract_y
_atom_site_fract_z
_atom_site_occupancy
Sc1 Sc 0.0000 0.0000 0.0000 1
Mn1 Mn 0.0000 0.0000 0.5350 1
Mn2 Mn 0.5000 0.5000 0.7469 1
Te1 Te 0.5000 0.5000 0.2687 1

---

[8]
# KAlRh | Alexandria via LeMat-Bulk | PBE | relaxed
# - ΔE_f (eV per atom) = -0.022
# - spin magnetization (Bohr magnetons per cell) = 0.0
data_KAlRh
_cell_length_a 4.1294
_cell_length_b 4.1294
_cell_length_c 5.4879
_cell_angle_alpha 90.00
_cell_angle_beta 90.00
_cell_angle_gamma 120.00
_space_group_name_H-M_alt 'P -6 m 2'
_space_group_IT_number 187
_space_group_name_Hall 'P -6 2'
loop_
_atom_site_label
_atom_site_type_symbol
_atom_site_fract_x
_atom_site_fract_y
_atom_site_fract_z
_atom_site_occupancy
K1 K 0.0000 0.0000 0.0000 1
Al1 Al 0.3333 0.6667 0.5000 1
Rh1 Rh 0.6667 0.3333 0.5000 1

---

[9]
# NaMg2Cr | Alexandria via LeMat-Bulk | PBE | relaxed
# - ΔE_f (eV per atom) = 0.408
# - spin magnetization (Bohr magnetons per cell) = 17.8
data_NaMg2Cr
_cell_length_a 7.1237
_cell_length_b 7.1237
_cell_length_c 7.1237
_cell_angle_alpha 90.00
_cell_angle_beta 90.00
_cell_angle_gamma 90.00
_space_group_name_H-M_alt 'F m -3 m'
_space_group_IT_number 225
_space_group_name_Hall '-F 4 2 3'
loop_
_atom_site_label
_atom_site_type_symbol
_atom_site_fract_x
_atom_site_fract_y
_atom_site_fract_z
_atom_site_occupancy
Na1 Na 0.0000 0.0000 0.0000 1
Mg1 Mg 0.2500 0.2500 0.2500 1
Cr1 Cr 0.0000 0.0000 0.5000 1

---

[10]
# Cs2AgPbI5 | Alexandria via LeMat-Bulk | PBE | relaxed
# - raw formation energy (eV per atom) = -0.98
# - spin magnetization (Bohr magnetons per cell) = 0.0
data_Cs2AgPbI5
_cell_length_a 4.9010
_cell_length_b 22.6443
_cell_length_c 15.5694
_cell_angle_alpha 90.00
_cell_angle_beta 90.00
_cell_angle_gamma 90.00
_space_group_name_H-M_alt 'C m c 21'
_space_group_IT_number 36
loop_
_space_group_symop_operation_xyz
'x,y,z'
'-x,-y,z+1/2'
'-x,y,z'
'x,-y,z+1/2'
'x+1/2,y+1/2,z'
'-x+1/2,-y+1/2,z+1/2'
'-x+1/2,y+1/2,z'
'x+1/2,-y+1/2,z+1/2'
loop_
_atom_site_label
_atom_site_type_symbol
_atom_site_fract_x
_atom_site_fract_y
_atom_site_fract_z
_atom_site_occupancy
Cs1 Cs 0.0000 0.1125 0.0000 1
Cs2 Cs 0.0000 0.1248 0.6246 1
Ag1 Ag 0.0000 0.4372 0.7517 1
Pb1 Pb 0.0000 0.2063 0.3282 1
I1 I 0.0000 0.0596 0.3480 1
I2 I 0.0000 0.2872 0.9684 1
I3 I 0.0000 0.3064 0.6847 1
I4 I 0.0000 0.3459 0.3142 1
I5 I 0.0000 0.4981 0.5948 1

---

Question: Which value of spin magnetization does entry 1 give?
Answer: 0.0 Bohr magnetons per cell

---

Question: What is the spin magnetization in the second record?
Answer: 0.0 Bohr magnetons per cell